# AcEr3 | Alexandria via LeMat-Bulk | PBE | optimized geometry
data_AcEr3
_chemical_formula_sum 'Ac4 Er12'
_cell_length_a 8.173
_cell_length_b 8.173
_cell_length_c 8.173
_cell_angle_alpha 90.00
_cell_angle_beta 90.00
_cell_angle_gamma 90.00
_symmetry_space_group_name_H-M 'F m -3 m'
_symmetry_Int_Tables_number 225
_symmetry_space_group_name_Hall '-F 4 2 3'
loop_
_atom_site_label
_atom_site_fract_x
_atom_site_fract_y
_atom_site_fract_z
Ac1 0.000 0.000 0.000
Er1 0.000 0.000 0.500
Er2 0.250 0.250 0.250
# Calculated formation energy: 132 meV/atom